Here is La3Pr2Y5 after structural relaxation from the Alexandria database. Energies are from GGA-PBE.

Properties
Calculated formation energy = 0.1578 eV/atom

Cell: 10.8095 17.1005 9.2284 Å, 90.00 125.75 90.00°
Closest atoms and distances in Å follow each position.
Space group C2/c (No. 15)
Asymmetric unit:
La  0.0000  0.2292  0.2500 (multiplicity 4)  4 Pr 3.36-3.64, 1 Y 3.47, 2 La 3.56
La  0.1479  0.1253  0.0482 (multiplicity 8)  1 Pr 3.10, 3 Y 3.40-3.46
Pr  0.1446  0.3796  0.5376 (multiplicity 8)  2 La 3.10-3.36, 2 Y 3.36-3.44
Y  0.0000  0.0264  0.2500 (multiplicity 4)  5 La 3.42-3.52, 2 Pr 3.52, 2 Y 3.62
Y  0.0000  0.2754  0.7500 (multiplicity 4)  1 Y 3.32, 4 La 3.40-3.54, 2 Pr 3.61
Y  0.0000  0.4699  0.7500 (multiplicity 4)  3 Y 3.32-3.69, 4 Pr 3.36-3.50, 2 La 3.51
Y  0.2473  0.3842  0.2415 (multiplicity 8)  2 Pr 3.44-3.50, 3 La 3.46-3.80, 3 Y 3.62-3.83



Here is Y6Er8Th after structural relaxation from the Alexandria database. Energies are from GGA-PBE.

Properties
Calculated formation energy = 0.1208 eV/atom

Cell: 8.9996 8.9996 20.5133 Å, 90.00 90.00 120.00°
Closest atoms and distances in Å follow each position.
Space group R-3 (No. 148, hexagonal axes)
Asymmetric unit:
Y  0.0594  0.2464  0.2087 (multiplicity 18)  4 Er 3.36-3.68, 1 Th 3.44, 4 Y 3.47-3.75
Er  0.0000  0.0000  0.0767 (multiplicity 6)  4 Er 3.15-3.40, 3 Y 3.37
Er  0.0819  0.5575  0.3064 (multiplicity 18)  3 Y 3.36-3.68, 5 Er 3.40-3.42, 1 Th 3.47
Th  0.0000  0.0000  0.5000 (multiplicity 3)  6 Y 3.44, 6 Er 3.47